# 1
{"formula": "TmPbAuSeS2", "functional": "PBE-GGA", "state": "relaxed", "cell": [[2.0496, -7.2574, 0.0000], [2.0496, 7.2574, 0.0000], [0.0000, 0.0000, 10.5431]], "species": ["Tm", "Tm", "Pb", "Pb", "Au", "Au", "Se", "Se", "S", "S", "S", "S"], "fractional_positions": [[0.0000, 0.0000, 0.0000], [0.0000, 0.0000, 0.5000], [0.2976, 0.7024, 0.7500], [0.7024, 0.2976, 0.2500], [0.3654, 0.6346, 0.2500], [0.6346, 0.3654, 0.7500], [0.0615, 0.9385, 0.2500], [0.9385, 0.0615, 0.7500], [0.3753, 0.6247, 0.0274], [0.3753, 0.6247, 0.4726], [0.6247, 0.3753, 0.5274], [0.6247, 0.3753, 0.9726]], "space_group": "Cmcm, No. 63"}


# 2
{"formula": "BaAgIrS3", "functional": "PBE-GGA", "state": "relaxed", "cell": [[1.9796, -6.6673, 0.0000], [1.9796, 6.6673, 0.0000], [0.0000, 0.0000, 9.7045]], "species": ["Ba", "Ba", "Ag", "Ag", "Ir", "Ir", "S", "S", "S", "S", "S", "S"], "fractional_positions": [[0.2426, 0.7574, 0.7500], [0.7574, 0.2426, 0.2500], [0.4602, 0.5398, 0.2500], [0.5398, 0.4602, 0.7500], [0.0000, 0.0000, 0.0000], [0.0000, 0.0000, 0.5000], [0.0738, 0.9262, 0.2500], [0.3843, 0.6157, 0.0206], [0.3843, 0.6157, 0.4794], [0.6157, 0.3843, 0.5206], [0.6157, 0.3843, 0.9794], [0.9262, 0.0738, 0.7500]], "space_group": "Cmcm, No. 63"}


# 3
{"formula": "ThZn", "functional": "PBE-GGA", "state": "relaxed", "cell": [[5.1173, 0.0000, 0.0000], [0.0000, 7.3275, 0.0000], [0.0000, 0.0000, 5.1904]], "species": ["Th", "Th", "Th", "Th", "Zn", "Zn", "Zn", "Zn"], "fractional_positions": [[0.0000, 0.0000, 0.0000], [0.0000, 0.2810, 0.5063], [0.0000, 0.7190, 0.5063], [0.5000, 0.0000, 0.4920], [0.0000, 0.5000, 0.0083], [0.5000, 0.2843, 0.9836], [0.5000, 0.5000, 0.4356], [0.5000, 0.7157, 0.9836]], "space_group": "Pmm2, No. 25", "ef_kcal_per_mol_atoms": 0.85}


The records above yield energy values of -58.32 -58.89 -34.42 eV/cell, respectively.
The records above yield total magnetization values of 0.01 0.00 0.00 μB per formula unit, respectively.